The following is a DFT calculation (GGA-PBE) of RbNaPa4N8 after structural relaxation.

Properties
As for the formation energy (no corrections): -0.9374 eV/atom. The magnetic moment is 0.0 μB per cell. The raw total energy is -359.99 eV per cell.

a = 7.1632 Å, b = 7.1632 Å, c = 17.1122 Å
α = 90.00°, β = 90.00°, γ = 120.00°
Space group R3m (No. 160, hexagonal axes)
Symmetry-distinct sites (fractional):
Rb1 0.0000 0.0000 0.0000 (multiplicity 3)
Na1 0.0000 0.0000 0.6216 (multiplicity 3)
Pa1 0.0000 0.0000 0.2394 (multiplicity 3)
Pa2 0.1722 0.3445 0.4535 (multiplicity 9)
N1 0.0000 0.0000 0.3693 (multiplicity 3)
N2 0.0000 0.0000 0.8467 (multiplicity 3)
N3 0.0103 0.5052 0.8543 (multiplicity 9)
N4 0.0578 0.5289 0.3940 (multiplicity 9)